BeCr3I: optimized geometry, PBEsol.

DFT total energy: -6.157 eV/atom
raw formation energy: 1142 meV/atom
D(E_F): 4.69 states/eV per cell
density: 6.710 g/cm3
space-group type: Pm-3m (221)

CIF file:
```
data_BeCr3I
_chemical_formula_sum 'Be1 Cr3 I1'
_symmetry_space_group_name_H-M 'P 1'
_symmetry_Int_Tables_number 1
_symmetry_space_group_name_Hall 'P 1'
_cell_length_a 4.165
_cell_length_b 4.165
_cell_length_c 4.165
_cell_angle_alpha 90.00
_cell_angle_beta 90.00
_cell_angle_gamma 90.00
loop_
_atom_site_label
_atom_site_fract_x
_atom_site_fract_y
_atom_site_fract_z
Cr1 0.500 0.000 0.000
Be1 0.000 0.000 0.000
Cr2 0.000 0.000 0.500
Cr3 0.000 0.500 0.000
I1 0.500 0.500 0.500
```

BeCr2MoI: optimized geometry, PBEsol.

DFT total energy: -6.158 eV/atom
raw formation energy: 1446 meV/atom
D(E_F): 2.83 states/eV per cell
density: 5.703 g/cm3
space-group type: P4/mmm (123)

CIF file:
```
data_BeCr2MoI
_chemical_formula_sum 'Be1 Cr2 Mo1 I1'
_symmetry_space_group_name_H-M 'P 1'
_symmetry_Int_Tables_number 1
_symmetry_space_group_name_Hall 'P 1'
_cell_length_a 4.504
_cell_length_b 4.660
_cell_length_c 4.660
_cell_angle_alpha 90.00
_cell_angle_beta 90.00
_cell_angle_gamma 90.00
loop_
_atom_site_label
_atom_site_fract_x
_atom_site_fract_y
_atom_site_fract_z
Cr1 0.000 0.500 0.000
Cr2 0.000 0.000 0.500
Be1 0.500 0.000 0.000
I1 0.500 0.500 0.500
Mo1 0.000 0.000 0.000
```

BeCrTeI2: optimized geometry, PBEsol.

DFT total energy: -3.554 eV/atom
raw formation energy: 707 meV/atom
D(E_F): 3.90 states/eV per cell
density: 4.921 g/cm3
energy above the lowest structure with this stoichiometry: 137 meV/atom
space-group type: P4/mmm (123)

CIF file:
```
data_BeCrTeI2
_chemical_formula_sum 'Be1 Cr1 Te1 I2'
_symmetry_space_group_name_H-M 'P 1'
_symmetry_Int_Tables_number 1
_symmetry_space_group_name_Hall 'P 1'
_cell_length_a 5.138
_cell_length_b 5.390
_cell_length_c 5.390
_cell_angle_alpha 90.00
_cell_angle_beta 90.00
_cell_angle_gamma 90.00
loop_
_atom_site_label
_atom_site_fract_x
_atom_site_fract_y
_atom_site_fract_z
Be1 0.500 0.500 0.500
Te1 0.500 0.000 0.000
I1 0.000 0.500 0.000
I2 0.000 0.000 0.500
Cr1 0.000 0.000 0.000
```

BeCrTeI2: optimized geometry, PBEsol.

DFT total energy: -3.691 eV/atom
raw formation energy: 570 meV/atom
D(E_F): 3.61 states/eV per cell
density: 5.519 g/cm3
energy above the lowest structure with this stoichiometry: 0 meV/atom
space-group type: P4/mmm (123)

CIF file:
```
data_BeCrTeI2
_chemical_formula_sum 'Be1 Cr1 Te1 I2'
_symmetry_space_group_name_H-M 'P 1'
_symmetry_Int_Tables_number 1
_symmetry_space_group_name_Hall 'P 1'
_cell_length_a 5.070
_cell_length_b 5.124
_cell_length_c 5.124
_cell_angle_alpha 90.00
_cell_angle_beta 90.00
_cell_angle_gamma 90.00
loop_
_atom_site_label
_atom_site_fract_x
_atom_site_fract_y
_atom_site_fract_z
Be1 0.000 0.000 0.000
Te1 0.500 0.000 0.000
I1 0.000 0.000 0.500
Cr1 0.500 0.500 0.500
I2 0.000 0.500 0.000
```